(1)
The following is a DFT calculation (PBE) of Co2IrOs after structural relaxation.

Computed properties:
Polymorph energy (0 for the lowest one) in eV per atom: 0.000
Electronic total energy in eV for the cell shown: -34.05
Magnetization in μB per atom: 0.4919
Calculated formation energy in meV per atom: 62

a = 2.662 Å, b = 4.188 Å, c = 4.466 Å
α = 90.00°, β = 90.00°, γ = 90.00°
Space group Pmm2 (No. 25)
Inequivalent atoms, fractional coordinates:
Co (0.000, 0.000, 0.000) (multiplicity 1)
Co (0.000, 0.500, 0.324) (multiplicity 1)
Ir (0.500, 0.000, 0.491) (multiplicity 1)
Os (0.500, 0.500, 0.839) (multiplicity 1)

(2)
The following is a DFT calculation (PBE) of CoIrOsPb after structural relaxation.

Computed properties:
Polymorph energy (0 for the lowest one) in eV per atom: 0.000
Electronic total energy in eV for the cell shown: -111.47
Magnetization in μB per atom: 0.4236

a = 6.333 Å, b = 6.333 Å, c = 6.333 Å
α = 90.00°, β = 90.00°, γ = 90.00°
Space group F-43m (No. 216)
Inequivalent atoms, fractional coordinates:
Co (0.000, 0.000, 0.000) (multiplicity 4)
Ir (0.250, 0.250, 0.250) (multiplicity 4)
Os (0.000, 0.000, 0.500) (multiplicity 4)
Pb (0.250, 0.250, 0.750) (multiplicity 4)

(3)
The following is a DFT calculation (PBE) of CoSbIrOs after structural relaxation.

Computed properties:
Polymorph energy (0 for the lowest one) in eV per atom: 0.000
Electronic total energy in eV for the cell shown: -117.76
Magnetization in μB per atom: 0.5011

a = 6.264 Å, b = 6.264 Å, c = 6.264 Å
α = 90.00°, β = 90.00°, γ = 90.00°
Space group F-43m (No. 216)
Inequivalent atoms, fractional coordinates:
Co (0.000, 0.000, 0.000) (multiplicity 4)
Sb (0.250, 0.250, 0.750) (multiplicity 4)
Ir (0.250, 0.250, 0.250) (multiplicity 4)
Os (0.000, 0.000, 0.500) (multiplicity 4)

(4)
The following is a DFT calculation (PBE) of CoSiIrOs after structural relaxation.

Computed properties:
Polymorph energy (0 for the lowest one) in eV per atom: 0.000
Electronic total energy in eV for the cell shown: -128.03
Magnetization in μB per atom: 0.3318

a = 5.972 Å, b = 5.972 Å, c = 5.972 Å
α = 90.00°, β = 90.00°, γ = 90.00°
Space group F-43m (No. 216)
Inequivalent atoms, fractional coordinates:
Co (0.000, 0.000, 0.000) (multiplicity 4)
Si (0.250, 0.250, 0.750) (multiplicity 4)
Ir (0.250, 0.250, 0.250) (multiplicity 4)
Os (0.000, 0.000, 0.500) (multiplicity 4)

(5)
The following is a DFT calculation (PBE) of Ta2Zn2Co2IrOs after structural relaxation.

Computed properties:
Electronic total energy in eV for the cell shown: -62.82
Magnetization in μB per atom: 0.1283
Calculated formation energy in meV per atom: -287

a = 4.313 Å, b = 4.313 Å, c = 6.107 Å
α = 90.00°, β = 90.00°, γ = 90.00°
Space group P-4m2 (No. 115)
Inequivalent atoms, fractional coordinates:
Ta (0.000, 0.500, 0.249) (multiplicity 2)
Zn (0.000, 0.500, 0.751) (multiplicity 2)
Co (0.000, 0.000, 0.500) (multiplicity 1)
Co (0.500, 0.500, 0.000) (multiplicity 1)
Ir (0.500, 0.500, 0.500) (multiplicity 1)
Os (0.000, 0.000, 0.000) (multiplicity 1)

(6)
The following is a DFT calculation (PBE) of CoIrPtPb after structural relaxation.

Computed properties:
Polymorph energy (0 for the lowest one) in eV per atom: 0.000
Electronic total energy in eV for the cell shown: -96.91
Magnetization in μB per atom: 0.4684

a = 6.389 Å, b = 6.389 Å, c = 6.389 Å
α = 90.00°, β = 90.00°, γ = 90.00°
Space group F-43m (No. 216)
Inequivalent atoms, fractional coordinates:
Co (0.000, 0.000, 0.000) (multiplicity 4)
Ir (0.000, 0.000, 0.500) (multiplicity 4)
Pt (0.250, 0.250, 0.250) (multiplicity 4)
Pb (0.250, 0.250, 0.750) (multiplicity 4)

(7)
The following is a DFT calculation (PBE) of CoReIrPb after structural relaxation.

Computed properties:
Polymorph energy (0 for the lowest one) in eV per atom: 0.000
Electronic total energy in eV for the cell shown: -116.55
Magnetization in μB per atom: 0.0931

a = 6.315 Å, b = 6.315 Å, c = 6.315 Å
α = 90.00°, β = 90.00°, γ = 90.00°
Space group F-43m (No. 216)
Inequivalent atoms, fractional coordinates:
Co (0.000, 0.000, 0.000) (multiplicity 4)
Re (0.000, 0.000, 0.500) (multiplicity 4)
Ir (0.250, 0.250, 0.250) (multiplicity 4)
Pb (0.250, 0.250, 0.750) (multiplicity 4)

(8)
The following is a DFT calculation (PBE) of ScCoIrPb after structural relaxation.

Computed properties:
Polymorph energy (0 for the lowest one) in eV per atom: 0.000
Electronic total energy in eV for the cell shown: -107.50
Magnetization in μB per atom: 0.2652

a = 6.477 Å, b = 6.477 Å, c = 6.477 Å
α = 90.00°, β = 90.00°, γ = 90.00°
Space group F-43m (No. 216)
Inequivalent atoms, fractional coordinates:
Sc (0.000, 0.000, 0.000) (multiplicity 4)
Co (0.250, 0.250, 0.750) (multiplicity 4)
Ir (0.250, 0.250, 0.250) (multiplicity 4)
Pb (0.000, 0.000, 0.500) (multiplicity 4)

(9)
The following is a DFT calculation (PBE) of ScCoIrPb after structural relaxation.

Computed properties:
Polymorph energy (0 for the lowest one) in eV per atom: 0.293
Electronic total energy in eV for the cell shown: -102.81
Magnetization in μB per atom: 0.4183

a = 6.506 Å, b = 6.506 Å, c = 6.506 Å
α = 90.00°, β = 90.00°, γ = 90.00°
Space group F-43m (No. 216)
Inequivalent atoms, fractional coordinates:
Sc (0.000, 0.000, 0.000) (multiplicity 4)
Co (0.000, 0.000, 0.500) (multiplicity 4)
Ir (0.250, 0.250, 0.750) (multiplicity 4)
Pb (0.250, 0.250, 0.250) (multiplicity 4)

(10)
The following is a DFT calculation (PBE) of TaCoIrPb after structural relaxation.

Computed properties:
Polymorph energy (0 for the lowest one) in eV per atom: 0.200
Electronic total energy in eV for the cell shown: -119.26
Magnetization in μB per atom: 0.0007

a = 6.455 Å, b = 6.455 Å, c = 6.455 Å
α = 90.00°, β = 90.00°, γ = 90.00°
Space group F-43m (No. 216)
Inequivalent atoms, fractional coordinates:
Ta (0.000, 0.000, 0.000) (multiplicity 4)
Co (0.000, 0.000, 0.500) (multiplicity 4)
Ir (0.250, 0.250, 0.750) (multiplicity 4)
Pb (0.250, 0.250, 0.250) (multiplicity 4)

(11)
The following is a DFT calculation (PBE) of TaCoIrPb after structural relaxation.

Computed properties:
Polymorph energy (0 for the lowest one) in eV per atom: 0.000
Electronic total energy in eV for the cell shown: -122.46
Magnetization in μB per atom: 0.2923

a = 6.445 Å, b = 6.445 Å, c = 6.445 Å
α = 90.00°, β = 90.00°, γ = 90.00°
Space group F-43m (No. 216)
Inequivalent atoms, fractional coordinates:
Ta (0.000, 0.000, 0.000) (multiplicity 4)
Co (0.250, 0.250, 0.750) (multiplicity 4)
Ir (0.250, 0.250, 0.250) (multiplicity 4)
Pb (0.000, 0.000, 0.500) (multiplicity 4)

(12)
The following is a DFT calculation (PBE) of CoTcIrPb after structural relaxation.

Computed properties:
Polymorph energy (0 for the lowest one) in eV per atom: 0.000
Electronic total energy in eV for the cell shown: -111.12
Magnetization in μB per atom: 0.2292

a = 6.324 Å, b = 6.324 Å, c = 6.324 Å
α = 90.00°, β = 90.00°, γ = 90.00°
Space group F-43m (No. 216)
Inequivalent atoms, fractional coordinates:
Co (0.000, 0.000, 0.000) (multiplicity 4)
Tc (0.000, 0.000, 0.500) (multiplicity 4)
Ir (0.250, 0.250, 0.250) (multiplicity 4)
Pb (0.250, 0.250, 0.750) (multiplicity 4)